# 1
## GdAgSe2 (PBE)

Data for a relaxed structure of GdAgSe2.

```
data_GdAgSe2
_chemical_formula_sum 'Gd4 Ag4 Se8'
_cell_length_a 6.866
_cell_length_b 7.529
_cell_length_c 7.334
_cell_angle_alpha 90.00
_cell_angle_beta 97.40
_cell_angle_gamma 90.00
_symmetry_space_group_name_H-M 'P 1 21/c 1'
_symmetry_Int_Tables_number 14
loop_
_symmetry_equiv_pos_as_xyz
'x,y,z'
'-x,-y,-z'
'-x,y+1/2,-z+1/2'
'x,-y+1/2,z+1/2'
loop_
_atom_site_label
_atom_site_fract_x
_atom_site_fract_y
_atom_site_fract_z
Gd1 0.198 0.041 0.298
Ag1 0.412 0.668 0.462
Se1 0.048 0.730 0.503
Se2 0.389 0.102 0.702
```

**Crystal system**: monoclinic
**Final energy**: -76.60 eV per cell
**Magnetic moment**: 0.0 μB/f.u.

# 2
## GdAgSnTeSe2 (PBE)

Data for a relaxed structure of GdAgSnTeSe2.

```
data_GdAgSnTeSe2
_chemical_formula_sum 'Gd4 Ag4 Sn4 Te4 Se8'
_cell_length_a 4.151
_cell_length_b 14.116
_cell_length_c 11.139
_cell_angle_alpha 90.00
_cell_angle_beta 90.00
_cell_angle_gamma 90.00
_symmetry_space_group_name_H-M 'C m c m'
_symmetry_Int_Tables_number 63
_symmetry_space_group_name_Hall '-C 2c 2'
loop_
_atom_site_label
_atom_site_fract_x
_atom_site_fract_y
_atom_site_fract_z
Gd1 0.000 0.000 0.000
Ag1 0.000 0.475 0.250
Sn1 0.000 0.214 0.750
Te1 0.000 0.109 0.250
Se1 0.000 0.362 0.061
```

**Crystal system**: orthorhombic
**Final energy**: -106.10 eV per cell
**Magnetic moment**: 0.0 μB/f.u.

# 3
## SrGdAgSe3 (PBE)

Data for a relaxed structure of SrGdAgSe3.

```
data_SrGdAgSe3
_chemical_formula_sum 'Sr2 Gd2 Ag2 Se6'
_cell_length_a 8.003
_cell_length_b 4.161
_cell_length_c 10.014
_cell_angle_alpha 90.00
_cell_angle_beta 106.10
_cell_angle_gamma 90.00
_symmetry_space_group_name_H-M 'P 1 21/m 1'
_symmetry_Int_Tables_number 11
loop_
_symmetry_equiv_pos_as_xyz
'x,y,z'
'-x,-y,-z'
'-x,y+1/2,-z'
'x,-y+1/2,z'
loop_
_atom_site_label
_atom_site_fract_x
_atom_site_fract_y
_atom_site_fract_z
Sr1 0.249 0.250 0.291
Gd1 0.307 0.750 0.841
Ag1 0.092 0.250 0.591
Se1 0.057 0.250 0.845
Se2 0.287 0.750 0.541
Se3 0.432 0.750 0.142
```

**Crystal system**: monoclinic
**Final energy**: -57.44 eV per cell
**Magnetic moment**: 0.0 μB/f.u.

# 4
## SrGdAgTeSe2 (PBE)

Data for a relaxed structure of SrGdAgTeSe2.

```
data_SrGdAgTeSe2
_chemical_formula_sum 'Sr4 Gd4 Ag4 Te4 Se8'
_cell_length_a 4.184
_cell_length_b 14.613
_cell_length_c 11.068
_cell_angle_alpha 90.00
_cell_angle_beta 90.00
_cell_angle_gamma 90.00
_symmetry_space_group_name_H-M 'C m c m'
_symmetry_Int_Tables_number 63
_symmetry_space_group_name_Hall '-C 2c 2'
loop_
_atom_site_label
_atom_site_fract_x
_atom_site_fract_y
_atom_site_fract_z
Sr1 0.000 0.221 0.250
Gd1 0.000 0.000 0.000
Ag1 0.000 0.478 0.750
Te1 0.000 0.103 0.750
Se1 0.000 0.367 0.562
```

**Crystal system**: orthorhombic
**Final energy**: -110.55 eV per cell
**Magnetic moment**: 0.0 μB/f.u.

# 5
## GdTlAgSe3 (PBE)

Data for a relaxed structure of GdTlAgSe3.

```
data_GdTlAgSe3
_chemical_formula_sum 'Gd4 Tl4 Ag4 Se12'
_cell_length_a 4.097
_cell_length_b 14.363
_cell_length_c 10.950
_cell_angle_alpha 90.00
_cell_angle_beta 90.00
_cell_angle_gamma 90.00
_symmetry_space_group_name_H-M 'C m c m'
_symmetry_Int_Tables_number 63
_symmetry_space_group_name_Hall '-C 2c 2'
loop_
_atom_site_label
_atom_site_fract_x
_atom_site_fract_y
_atom_site_fract_z
Gd1 0.000 0.000 0.000
Tl1 0.000 0.245 0.250
Ag1 0.000 0.463 0.750
Se1 0.000 0.079 0.750
Se2 0.000 0.363 0.550
```

**Crystal system**: orthorhombic
**Final energy**: -102.15 eV per cell
**Magnetic moment**: 0.0 μB/f.u.

# 6
## GdYAg2Se4 (PBE)

Data for a relaxed structure of GdYAg2Se4.

```
data_GdYAg2Se4
_chemical_formula_sum 'Gd2 Y2 Ag4 Se8'
_cell_length_a 9.590
_cell_length_b 9.595
_cell_length_c 4.332
_cell_angle_alpha 90.00
_cell_angle_beta 90.00
_cell_angle_gamma 90.00
_symmetry_space_group_name_H-M 'C m m 2'
_symmetry_Int_Tables_number 35
loop_
_symmetry_equiv_pos_as_xyz
'x,y,z'
'-x,-y,z'
'-x,y,z'
'x,-y,z'
'x+1/2,y+1/2,z'
'-x+1/2,-y+1/2,z'
'-x+1/2,y+1/2,z'
'x+1/2,-y+1/2,z'
loop_
_atom_site_label
_atom_site_fract_x
_atom_site_fract_y
_atom_site_fract_z
Gd1 0.000 0.000 0.000
Y1 0.000 0.500 0.592
Ag1 0.250 0.250 0.796
Se1 0.000 0.298 0.079
Se2 0.202 0.000 0.513
```

**Crystal system**: orthorhombic
**Final energy**: -81.13 eV per cell
**Magnetic moment**: 0.0 μB/f.u.

# 7
## Gd3Si4Ag4 (PBE)

Data for a relaxed structure of Gd3Si4Ag4.

```
data_Gd3Si4Ag4
_chemical_formula_sum 'Gd6 Si8 Ag8'
_cell_length_a 4.298
_cell_length_b 7.027
_cell_length_c 14.279
_cell_angle_alpha 90.00
_cell_angle_beta 90.00
_cell_angle_gamma 90.00
_symmetry_space_group_name_H-M 'I m m m'
_symmetry_Int_Tables_number 71
_symmetry_space_group_name_Hall '-I 2 2'
loop_
_atom_site_label
_atom_site_fract_x
_atom_site_fract_y
_atom_site_fract_z
Gd1 0.000 0.000 0.000
Gd2 0.000 0.500 0.126
Si1 0.000 0.000 0.216
Si2 0.000 0.174 0.500
Ag1 0.000 0.302 0.332
```

**Crystal system**: orthorhombic
**Final energy**: -105.17 eV per cell
**Magnetic moment**: 0.0 μB/f.u.

# 8
## GdSiAg (PBE)

Data for a relaxed structure of GdSiAg.

```
data_GdSiAg
_chemical_formula_sum 'Gd4 Si4 Ag4'
_cell_length_a 7.167
_cell_length_b 4.246
_cell_length_c 8.069
_cell_angle_alpha 90.00
_cell_angle_beta 90.00
_cell_angle_gamma 90.00
_symmetry_space_group_name_H-M 'P n m a'
_symmetry_Int_Tables_number 62
loop_
_symmetry_equiv_pos_as_xyz
'x,y,z'
'-x,-y,-z'
'-x+1/2,-y,z+1/2'
'x+1/2,y,-z+1/2'
'x+1/2,-y+1/2,-z+1/2'
'-x+1/2,y+1/2,z+1/2'
'-x,y+1/2,-z'
'x,-y+1/2,z'
loop_
_atom_site_label
_atom_site_fract_x
_atom_site_fract_y
_atom_site_fract_z
Gd1 0.022 0.250 0.186
Si1 0.240 0.750 0.380
Ag1 0.149 0.250 0.561
```

**Crystal system**: orthorhombic
**Final energy**: -58.57 eV per cell
**Magnetic moment**: 0.0 μB/f.u.

# 9
## GdSiAg (PBE)

Data for a relaxed structure of GdSiAg.

```
data_GdSiAg
_chemical_formula_sum 'Gd3 Si3 Ag3'
_cell_length_a 7.1386
_cell_length_b 7.1386
_cell_length_c 4.1904
_cell_angle_alpha 90.00
_cell_angle_beta 90.00
_cell_angle_gamma 120.00
_symmetry_space_group_name_H-M 'P -6 2 m'
_symmetry_Int_Tables_number 189
_symmetry_space_group_name_Hall 'P -6 -2'
loop_
_atom_site_label
_atom_site_fract_x
_atom_site_fract_y
_atom_site_fract_z
Gd1 0.0000 0.5958 0.0000
Si1 0.0000 0.2573 0.5000
Ag1 0.0000 0.0000 0.0000
Ag2 0.3333 0.6667 0.5000
```

**Crystal system**: hexagonal
**Final energy**: -41.64 eV per cell
**Magnetic moment**: 0.0 μB/f.u.

# 10
## GdSiAg (PBE)

Data for a relaxed structure of GdSiAg.

```
data_GdSiAg
_chemical_formula_sum 'Gd3 Si3 Ag3'
_cell_length_a 7.0678
_cell_length_b 7.0678
_cell_length_c 4.2177
_cell_angle_alpha 90.00
_cell_angle_beta 90.00
_cell_angle_gamma 120.00
_symmetry_space_group_name_H-M 'P -6 2 m'
_symmetry_Int_Tables_number 189
_symmetry_space_group_name_Hall 'P -6 -2'
loop_
_atom_site_label
_atom_site_fract_x
_atom_site_fract_y
_atom_site_fract_z
Gd1 0.0000 0.5813 0.0000
Si1 0.0000 0.0000 0.0000
Si2 0.3333 0.6667 0.5000
Ag1 0.0000 0.2488 0.5000
```

**Crystal system**: hexagonal
**Final energy**: -44.08 eV per cell
**Magnetic moment**: 0.0 μB/f.u.

# 11
## Gd3Si4Ag4 (PBE)

Data for a relaxed structure of Gd3Si4Ag4.

```
data_Gd3Si4Ag4
_chemical_formula_sum 'Gd6 Si8 Ag8'
_cell_length_a 4.305
_cell_length_b 6.982
_cell_length_c 14.299
_cell_angle_alpha 90.00
_cell_angle_beta 90.00
_cell_angle_gamma 90.00
_symmetry_space_group_name_H-M 'I m m m'
_symmetry_Int_Tables_number 71
_symmetry_space_group_name_Hall '-I 2 2'
loop_
_atom_site_label
_atom_site_fract_x
_atom_site_fract_y
_atom_site_fract_z
Gd1 0.000 0.000 0.000
Gd2 0.000 0.500 0.126
Si1 0.000 0.000 0.216
Si2 0.000 0.176 0.500
Ag1 0.000 0.302 0.331
```

**Crystal system**: orthorhombic
**Final energy**: -105.15 eV per cell
**Magnetic moment**: 0.0 μB/f.u.

Question: Look up the magnetic moment of the third one.
Answer: 0.0 μB/f.u.